# 1
# CsRb3Cd3, relaxed, DFT PBE
# - raw total energy (eV/atom) = -0.9539
# - M_tot (μB per formula unit) = 0.0
# - energy relative to the elements (meV per atom) = -25
data_CsRb3Cd3
_chemical_formula_sum 'Cs2 Rb6 Cd6'
_space_group_name_H-M_alt 'P 1'
_space_group_IT_number 1
_cell_length_a 9.1288
_cell_length_b 9.1288
_cell_length_c 11.5376
_cell_angle_alpha 66.70
_cell_angle_beta 66.70
_cell_angle_gamma 60.00
loop_
_space_group_symop_operation_xyz
'x,y,z'
loop_
_atom_site_label
_atom_site_fract_x
_atom_site_fract_y
_atom_site_fract_z
Cs1 0.5706 0.5706 0.2881
Cs2 0.4294 0.4294 0.7119
Rb1 0.4025 0.8990 0.7995
Rb2 0.8990 0.8990 0.7995
Rb3 0.8990 0.4025 0.7995
Rb4 0.1010 0.5975 0.2005
Rb5 0.1010 0.1010 0.2005
Rb6 0.5975 0.1010 0.2005
Cd1 0.2835 0.2835 0.5003
Cd2 0.9327 0.2835 0.5003
Cd3 0.2835 0.9327 0.5003
Cd4 0.7165 0.0673 0.4997
Cd5 0.0673 0.7165 0.4997
Cd6 0.7165 0.7165 0.4997



# 2
# CsRb5Cd, relaxed, DFT PBE
# - raw total energy (eV/atom) = -0.9059
# - M_tot (μB per formula unit) = 0.0
# - energy relative to the elements (meV per atom) = 38
data_CsRb5Cd
_chemical_formula_sum 'Cs2 Rb10 Cd2'
_space_group_name_H-M_alt 'P 1'
_space_group_IT_number 1
_cell_length_a 8.4448
_cell_length_b 8.4448
_cell_length_c 16.4580
_cell_angle_alpha 80.03
_cell_angle_beta 80.03
_cell_angle_gamma 82.85
loop_
_space_group_symop_operation_xyz
'x,y,z'
loop_
_atom_site_label
_atom_site_fract_x
_atom_site_fract_y
_atom_site_fract_z
Cs1 0.3515 0.6485 0.7500
Cs2 0.6485 0.3515 0.2500
Rb1 0.4075 0.1033 0.8851
Rb2 0.4656 0.8014 0.4307
Rb3 0.1033 0.4075 0.3851
Rb4 0.9430 0.0570 0.7500
Rb5 0.1986 0.5344 0.0693
Rb6 0.8014 0.4656 0.9307
Rb7 0.0570 0.9430 0.2500
Rb8 0.8967 0.5925 0.6149
Rb9 0.5344 0.1986 0.5693
Rb10 0.5925 0.8967 0.1149
Cd1 0.0000 0.0000 0.0000
Cd2 0.0000 0.0000 0.5000



# 3
# Cs12Rb5Cd3, relaxed, DFT PBE
# - raw total energy (eV/atom) = -0.7357
# - M_tot (μB per formula unit) = 0.0
# - energy relative to the elements (meV per atom) = 156
data_Cs12Rb5Cd3
_chemical_formula_sum 'Cs48 Rb20 Cd12'
_space_group_name_H-M_alt 'P 1'
_space_group_IT_number 1
_cell_length_a 22.5573
_cell_length_b 22.5573
_cell_length_c 22.5573
_cell_angle_alpha 109.47
_cell_angle_beta 109.47
_cell_angle_gamma 109.47
loop_
_space_group_symop_operation_xyz
'x,y,z'
loop_
_atom_site_label
_atom_site_fract_x
_atom_site_fract_y
_atom_site_fract_z
Cd1 0.7500 0.3750 0.1250
Cd2 0.8750 0.7500 0.1250
Cd3 0.3750 0.7500 0.6250
Cd4 0.2500 0.1250 0.3750
Cd5 0.8750 0.1250 0.2500
Cd6 0.3750 0.6250 0.2500
Cd7 0.6250 0.3750 0.7500
Cd8 0.1250 0.8750 0.7500
Cd9 0.7500 0.8750 0.6250
Cd10 0.6250 0.2500 0.3750
Cd11 0.1250 0.2500 0.8750
Cd12 0.2500 0.6250 0.8750
Rb1 0.1250 0.3750 0.2500
Rb2 0.0000 0.5000 0.0000
Rb3 0.0000 0.0000 0.0000
Rb4 0.3750 0.2500 0.1250
Rb5 0.5000 0.0000 0.5000
Rb6 0.5000 0.5000 0.0000
Rb7 0.1250 0.7500 0.3750
Rb8 0.7500 0.1250 0.8750
Rb9 0.7500 0.6250 0.3750
Rb10 0.3750 0.1250 0.7500
Rb11 0.6250 0.8750 0.2500
Rb12 0.5000 0.5000 0.5000
Rb13 0.5000 0.0000 0.0000
Rb14 0.0000 0.0000 0.5000
Rb15 0.2500 0.3750 0.6250
Rb16 0.2500 0.8750 0.1250
Rb17 0.0000 0.5000 0.5000
Rb18 0.8750 0.2500 0.6250
Rb19 0.6250 0.7500 0.8750
Rb20 0.8750 0.6250 0.7500
Cs1 0.7466 0.1313 0.0809
Cs2 0.3344 0.5809 0.4496
Cs3 0.9191 0.3687 0.2534
Cs4 0.5809 0.2466 0.1313
Cs5 0.6153 0.7466 0.6656
Cs6 0.9191 0.5504 0.1656
Cs7 0.3344 0.7534 0.3847
Cs8 0.0504 0.8847 0.1313
Cs9 0.5504 0.9191 0.6656
Cs10 0.7466 0.6153 0.1656
Cs11 0.7534 0.4191 0.3687
Cs12 0.8344 0.9496 0.0809
Cs13 0.1313 0.7466 0.5809
Cs14 0.3687 0.4496 0.1153
Cs15 0.1153 0.9496 0.3687
Cs16 0.3847 0.1313 0.5504
Cs17 0.1153 0.1656 0.2466
Cs18 0.4191 0.6656 0.0504
Cs19 0.8344 0.8847 0.2534
Cs20 0.1313 0.3847 0.0504
Cs21 0.3687 0.9191 0.7534
Cs22 0.5504 0.6313 0.3847
Cs23 0.9496 0.8344 0.5809
Cs24 0.7534 0.3344 0.8847
Cs25 0.4496 0.3687 0.6153
Cs26 0.0504 0.1656 0.4191
Cs27 0.2466 0.6656 0.1153
Cs28 0.1656 0.1153 0.7466
Cs29 0.6313 0.0809 0.2466
Cs30 0.8687 0.6153 0.9496
Cs31 0.5809 0.3344 0.9496
Cs32 0.6153 0.8687 0.4496
Cs33 0.8847 0.8344 0.7534
Cs34 0.8847 0.0504 0.6313
Cs35 0.8687 0.2534 0.4191
Cs36 0.1656 0.0504 0.9191
Cs37 0.6313 0.5504 0.8847
Cs38 0.4496 0.0809 0.3344
Cs39 0.2534 0.3847 0.8344
Cs40 0.2466 0.5809 0.6313
Cs41 0.9496 0.1153 0.8687
Cs42 0.6656 0.2466 0.6153
Cs43 0.4191 0.7534 0.8687
Cs44 0.0809 0.4496 0.8344
Cs45 0.3847 0.2534 0.3344
Cs46 0.0809 0.6313 0.7466
Cs47 0.6656 0.4191 0.5504
Cs48 0.2534 0.8687 0.9191